[1]
A plane-wave DFT calculation with PBE was carried out for a geometry-optimized Li2PaBr8 structure.

Summary:
- E_form (uncorrected) (kJ/mol of atoms) = -107.9
- total magnetic moment (Bohr magnetons per cell) = 1.69
- VASP energy (eV for the cell shown) = -78.02

a b c (Å): 7.641 12.423 7.622
angles (deg): 90.00 103.73 90.00
Space group C2/m (No. 12)
Asymmetric unit:
1 Li 0.000 0.244 0.000 (multiplicity 4)
2 Pa 0.000 0.000 0.500 (multiplicity 2)
3 Br 0.000 0.223 0.500 (multiplicity 4)
4 Br 0.219 0.126 0.859 (multiplicity 8)
5 Br 0.223 0.500 0.653 (multiplicity 4)


[2]
A plane-wave DFT calculation with PBE was carried out for a geometry-optimized Co2PbW structure.

Summary:
- total magnetic moment (Bohr magnetons per cell) = 0.00
- VASP energy (eV for the cell shown) = -28.65

a b c (Å): 3.039 4.141 5.039
angles (deg): 90.00 104.41 90.00
Space group Pm (No. 6)
Asymmetric unit:
1 Co 0.000 0.000 0.000 (multiplicity 1)
2 Co 0.191 0.500 0.302 (multiplicity 1)
3 Pb 0.745 0.000 0.474 (multiplicity 1)
4 W 0.529 0.500 0.897 (multiplicity 1)


[3]
A plane-wave DFT calculation with PBE was carried out for a geometry-optimized Pm2Nd7Ho2 structure.

Summary:
- total magnetic moment (Bohr magnetons per cell) = 0.00
- ΔE to the lowest computed polymorph (meV per atom) = 0
- VASP energy (eV for the cell shown) = -100.72

a b c (Å): 10.820 8.916 8.329
angles (deg): 90.00 105.20 90.00
Space group C2/m (No. 12)
Asymmetric unit:
1 Pm 0.000 0.213 0.000 (multiplicity 4)
2 Nd 0.000 0.000 0.500 (multiplicity 2)
3 Nd 0.216 0.303 0.678 (multiplicity 8)
4 Nd 0.237 0.500 0.052 (multiplicity 4)
5 Ho 0.054 0.500 0.314 (multiplicity 4)


[4]
A plane-wave DFT calculation with PBE was carried out for a geometry-optimized Hf2ScNbOs structure.

Summary:
- total magnetic moment (Bohr magnetons per cell) = 0.00
- VASP energy (eV for the cell shown) = -38.84

a b c (Å): 4.859 4.859 4.493
angles (deg): 90.00 90.00 90.00
Space group P4/mmm (No. 123)
Asymmetric unit:
1 Hf 0.000 0.500 0.000 (multiplicity 2)
2 Sc 0.000 0.000 0.000 (multiplicity 1)
3 Nb 0.000 0.000 0.500 (multiplicity 1)
4 Os 0.500 0.500 0.500 (multiplicity 1)


[5]
A plane-wave DFT calculation with PBE was carried out for a geometry-optimized Ca2TcSnO structure.

Summary:
- E_form (uncorrected) (kJ/mol of atoms) = 34.2
- total magnetic moment (Bohr magnetons per cell) = 0.01
- ΔE to the lowest computed polymorph (meV per atom) = 689
- VASP energy (eV for the cell shown) = -21.56

a b c (Å): 5.278 5.278 5.021
angles (deg): 90.00 90.00 90.00
Space group P4/mmm (No. 123)
Asymmetric unit:
1 Ca 0.000 0.500 0.000 (multiplicity 2)
2 Tc 0.000 0.000 0.000 (multiplicity 1)
3 Sn 0.000 0.000 0.500 (multiplicity 1)
4 O 0.500 0.500 0.500 (multiplicity 1)


[6]
A plane-wave DFT calculation with PBE was carried out for a geometry-optimized Sm4TlIn3 structure.

Summary:
- total magnetic moment (Bohr magnetons per cell) = 0.00
- ΔE to the lowest computed polymorph (meV per atom) = 49
- VASP energy (eV for the cell shown) = -32.79

a b c (Å): 4.415 4.666 11.750
angles (deg): 90.00 90.00 90.00
Space group Pmm2 (No. 25)
Asymmetric unit:
1 Sm 0.000 0.000 0.000 (multiplicity 1)
2 Sm 0.000 0.500 0.498 (multiplicity 1)
3 Sm 0.500 0.000 0.725 (multiplicity 1)
4 Sm 0.500 0.500 0.224 (multiplicity 1)
5 Tl 0.000 0.500 0.772 (multiplicity 1)
6 In 0.000 0.000 0.278 (multiplicity 1)
7 In 0.500 0.000 0.446 (multiplicity 1)
8 In 0.500 0.500 0.947 (multiplicity 1)


[7]
A plane-wave DFT calculation with PBE was carried out for a geometry-optimized InCoCu structure.

Summary:
- total magnetic moment (Bohr magnetons per cell) = 4.57
- ΔE to the lowest computed polymorph (meV per atom) = 0
- VASP energy (eV for the cell shown) = -53.47

a b c (Å): 3.788 11.985 3.933
angles (deg): 90.00 90.00 90.00
Space group Cmcm (No. 63)
Asymmetric unit:
1 In 0.000 0.097 0.250 (multiplicity 4)
2 Co 0.000 0.250 0.750 (multiplicity 4)
3 Cu 0.000 0.401 0.250 (multiplicity 4)


[8]
A plane-wave DFT calculation with PBE was carried out for a geometry-optimized MgTi3Zn6 structure.

Summary:
- total magnetic moment (Bohr magnetons per cell) = 0.18
- VASP energy (eV for the cell shown) = -68.49

a b c (Å): 8.576 4.043 9.093
angles (deg): 90.00 93.85 90.00
Space group P2_1/m (No. 11)
Asymmetric unit:
1 Mg 0.053 0.250 0.391 (multiplicity 2)
2 Ti 0.252 0.250 0.990 (multiplicity 2)
3 Ti 0.352 0.750 0.793 (multiplicity 2)
4 Ti 0.449 0.250 0.594 (multiplicity 2)
5 Zn 0.051 0.750 0.902 (multiplicity 2)
6 Zn 0.148 0.750 0.189 (multiplicity 2)
7 Zn 0.152 0.250 0.697 (multiplicity 2)
8 Zn 0.250 0.750 0.496 (multiplicity 2)
9 Zn 0.348 0.250 0.292 (multiplicity 2)
10 Zn 0.445 0.750 0.100 (multiplicity 2)